This record from Alexandria describes a relaxed ReSb3 crystal. The functional is PBE-GGA.

Geometry as extended XYZ:
```
4
Lattice="4.4820 0.0000 0.0000 0.0000 4.4820 0.0000 0.0000 0.0000 4.4820" Properties=species:S:1:pos:R:3 pbc="T T T"
Re 0.0000 0.0000 0.0000
Sb 0.0000 2.2410 2.2410
Sb 2.2410 0.0000 2.2410
Sb 2.2410 2.2410 0.0000
```

offset from the most stable computed form	682.0	meV per atom
total magnetization	0.0	μB per cell
Fermi-level density of states	0.713	states/eV per atom
formation energy without anion corrections	3.9	eV/f.u.
electronic total energy	-5.22	eV/atom



This record from Alexandria describes a relaxed Pr5Si2Se2 crystal. The functional is PBE-GGA.

Geometry as extended XYZ:
```
18
Lattice="7.6039 -3.9522 0.0000 7.6039 3.9522 0.0000 0.0000 0.0000 7.9598" Properties=species:S:1:pos:R:3 pbc="T T T"
Pr 0.0000 0.0000 0.0000
Pr 5.5526 2.5820 5.3320
Pr 5.5526 1.3702 1.3521
Pr 9.6551 2.5820 5.3320
Pr 9.6551 1.3702 1.3521
Pr 7.6039 0.0000 3.9799
Pr 5.5526 -1.3702 6.6077
Pr 5.5526 -2.5820 2.6278
Pr 9.6551 -1.3702 6.6077
Pr 9.6551 -2.5820 2.6278
Si 7.6039 3.0368 3.0577
Si 7.6039 0.9154 7.0376
Si 7.6039 -0.9154 0.9222
Si 7.6039 -3.0368 4.9021
Se 3.0602 0.0000 0.0000
Se 4.5437 0.0000 3.9799
Se 10.6641 0.0000 3.9799
Se 12.1475 0.0000 0.0000
```

total magnetization	0.0	μB per cell
Fermi-level density of states	0.755	states/eV per atom
formation energy without anion corrections	-10.4	eV/f.u.
electronic total energy	-5.79	eV/atom



This record from Alexandria describes a relaxed KBe3Ir crystal. The functional is PBE-GGA.

Geometry as extended XYZ:
```
5
Lattice="4.1471 0.0000 0.0000 0.0000 4.1471 0.0000 0.0000 0.0000 4.1471" Properties=species:S:1:pos:R:3 pbc="T T T"
K 0.0000 0.0000 0.0000
Be 0.0000 0.0000 2.0735
Be 0.0000 2.0735 0.0000
Be 2.0735 0.0000 0.0000
Ir 2.0735 2.0735 2.0735
```

offset from the most stable computed form	2436.2	meV per atom
total magnetization	0.0	μB per cell
Fermi-level density of states	0.514	states/eV per atom
formation energy	13.13	eV/f.u.
electronic total energy	-1.60	eV/atom



This record from Alexandria describes a relaxed Tb5Dy4Al crystal. The functional is PBE-GGA.

Geometry as extended XYZ:
```
10
Lattice="3.5447 0.0000 0.0000 0.0000 3.5447 0.0000 0.0000 0.0000 24.0330" Properties=species:S:1:pos:R:3 pbc="T T T"
Tb 0.0000 0.0000 0.0000
Tb 0.0000 0.0000 5.0417
Tb 0.0000 0.0000 10.1141
Tb 0.0000 0.0000 13.9189
Tb 0.0000 0.0000 18.9914
Dy 1.7724 1.7724 2.5106
Dy 1.7724 1.7724 7.5417
Dy 1.7724 1.7724 16.4914
Dy 1.7724 1.7724 21.5224
Al 1.7724 1.7724 12.0165
```

total magnetization	0.0	μB per cell
Fermi-level density of states	1.355	states/eV per atom
formation energy	-0.61	eV/f.u.
electronic total energy	-4.59	eV/atom



This record from Alexandria describes a relaxed Sc4PSe3 crystal. The functional is PBE-GGA.

Geometry as extended XYZ:
```
8
Lattice="3.8763 -5.4467 0.0000 3.8763 5.4467 0.0000 0.0000 0.0000 3.8188" Properties=species:S:1:pos:R:3 pbc="T T T"
Sc 1.7667 0.0000 1.9094
Sc 3.8763 2.8809 0.0000
Sc 3.8763 -2.8809 0.0000
Sc 5.9859 0.0000 1.9094
P 0.0000 0.0000 0.0000
Se 1.9381 2.7233 1.9094
Se 1.9381 -2.7233 1.9094
Se 3.8763 0.0000 0.0000
```

total magnetization	0.0	μB per cell
Fermi-level density of states	0.446	states/eV per atom
formation energy without anion corrections	-13.1	eV/f.u.
electronic total energy	-6.78	eV/atom



This record from Alexandria describes a relaxed B2C crystal. The functional is PBE-GGA.

Geometry as extended XYZ:
```
12
Lattice="4.4756 0.0000 0.0000 -1.0045 5.7507 0.0000 -1.3623 -2.8922 4.8918" Properties=species:S:1:pos:R:3 pbc="T T T"
B -0.3526 0.6838 0.6277
B -0.3688 1.8330 3.0645
B 1.3993 0.4594 0.3262
B 0.7324 0.6731 2.0375
B 1.3764 2.1853 2.8543
B 0.7094 2.3991 4.5656
B 2.4775 1.0255 1.8273
B 2.4614 2.1747 4.2641
C -0.6601 0.3267 2.2833
C -0.6528 1.7058 4.7552
C 2.7616 1.1526 0.1366
C 2.7689 2.5317 2.6085
```

offset from the most stable computed form	584.0	meV per atom
total magnetization	0.0	μB per cell
Fermi-level density of states	0.124	states/eV per atom
formation energy	2.31	eV/f.u.
electronic total energy	-6.76	eV/atom



This record from Alexandria describes a relaxed Li3Mg6Cu crystal. The functional is PBE-GGA.

Geometry as extended XYZ:
```
20
Lattice="10.3655 0.0000 0.0000 0.0000 3.0569 0.0000 -1.6728 0.0000 12.8538" Properties=species:S:1:pos:R:3 pbc="T T T"
Li 0.1724 0.7642 3.5241
Li 0.9924 0.7642 0.9194
Li 2.9624 0.7642 10.4286
Li 5.7302 2.2927 2.4252
Li 7.7002 2.2927 11.9343
Li 8.5202 2.2927 9.3297
Mg 0.3924 2.2927 5.9554
Mg 0.3866 2.2927 11.3420
Mg 0.7745 0.7642 8.5948
Mg 2.8466 2.2927 3.2897
Mg 3.8908 0.7642 0.5512
Mg 3.4948 2.2927 7.6225
Mg 5.1978 0.7642 5.2313
Mg 4.8018 2.2927 12.3026
Mg 5.8460 0.7642 9.5641
Mg 7.9182 2.2927 4.2589
Mg 8.3061 0.7642 1.5117
Mg 8.3002 0.7642 6.8984
Cu 2.4899 0.7642 5.5349
Cu 6.2028 2.2927 7.3189
```

total magnetization	0.0	μB per cell
Fermi-level density of states	0.261	states/eV per atom
formation energy	-0.16	eV/f.u.
electronic total energy	-1.96	eV/atom



This record from Alexandria describes a relaxed YZr2ScO crystal. The functional is PBE-GGA.

Geometry as extended XYZ:
```
5
Lattice="4.7038 0.0000 0.0000 0.0000 4.7038 0.0000 0.0000 0.0000 4.5143" Properties=species:S:1:pos:R:3 pbc="T T T"
Y 0.0000 0.0000 0.0000
Zr 0.0000 2.3519 2.2571
Zr 2.3519 0.0000 2.2571
Sc 2.3519 2.3519 0.0000
O 2.3519 2.3519 2.2571
```

offset from the most stable computed form	45.9	meV per atom
total magnetization	0.0	μB per cell
Fermi-level density of states	0.881	states/eV per atom
formation energy without anion corrections	-5.1	eV/f.u.
electronic total energy	-7.98	eV/atom



This record from Alexandria describes a relaxed TiBe2Al2 crystal. The functional is PBE-GGA.

Geometry as extended XYZ:
```
5
Lattice="-1.8015 1.8015 5.3334 1.8015 -1.8015 5.3334 1.8015 1.8015 -5.3334" Properties=species:S:1:pos:R:3 pbc="T T T"
Ti 0.0000 0.0000 0.0000
Be 1.8015 0.0000 2.6667
Be 0.0000 1.8015 2.6667
Al 0.0000 0.0000 4.1373
Al 0.0000 0.0000 6.5295
```

offset from the most stable computed form	143.2	meV per atom
total magnetization	0.0	μB per cell
Fermi-level density of states	0.319	states/eV per atom
formation energy	0.44	eV/f.u.
electronic total energy	-4.48	eV/atom



This record from Alexandria describes a relaxed NaP2OsRu crystal. The functional is PBE-GGA.

Geometry as extended XYZ:
```
5
Lattice="4.5479 0.0000 0.0000 0.0000 4.5479 0.0000 0.0000 0.0000 4.9082" Properties=species:S:1:pos:R:3 pbc="T T T"
Na 0.0000 0.0000 0.0000
P 0.0000 2.2739 2.4541
P 2.2739 0.0000 2.4541
Os 2.2739 2.2739 0.0000
Ru 2.2739 2.2739 2.4541
```

offset from the most stable computed form	1458.8	meV per atom
total magnetization	0.5	μB per cell
Fermi-level density of states	1.039	states/eV per atom
formation energy	4.90	eV/f.u.
electronic total energy	-5.55	eV/atom